Compound: CrAu2Br
Source: Alexandria
Functional: GGA-PBEsol
Structure: relaxed

Cell: 3.0102 4.4235 6.7387 Å, 109.16 102.91 90.00°
Fractional coordinates of all 4 atoms:
Au 0.9129 0.9129 0.8257
Au 0.7855 0.2855 0.5710
Cr 0.2293 0.7293 0.4586
Br 0.5724 0.5724 0.1448

Computed properties:
Spin magnetization: 0.852 μB/atom
Distance to the lowest polymorph of the same formula: 0.0467 eV per atom
Formation energy (no corrections): 0.224 eV per atom
Density: 10.6 g/cm³
DFT total energy: -19.06 eV per formula unit

Compound: Cr2AuBr2
Source: Alexandria
Functional: GGA-PBEsol
Structure: relaxed

Cell: 4.8050 4.8050 6.0087 Å, 113.57 113.57 90.00°
Fractional coordinates of all 5 atoms:
Br 0.6546 0.6546 0.3092
Br 0.3454 0.3454 0.6908
Cr 0.2500 0.7500 0.5000
Cr 0.7500 0.2500 0.5000
Au 0.0000 0.0000 0.0000

Computed properties:
Spin magnetization: 1.801 μB/atom
Formation energy (no corrections): 0.533 eV per atom
Density: 6.7 g/cm³
DFT total energy: -25.48 eV per formula unit

Compound: CrAu2Br
Source: Alexandria
Functional: GGA-PBEsol
Structure: relaxed

Cell: 3.1898 4.6698 6.3929 Å, 103.40 90.00 109.97°
Fractional coordinates of all 4 atoms:
Au 0.7167 0.4334 0.1674
Au 0.9597 0.9194 0.9757
Cr 0.2160 0.4320 0.8231
Br 0.6076 0.2152 0.5338

Computed properties:
Spin magnetization: 0.818 μB/atom
Distance to the lowest polymorph of the same formula: 0.0000 eV per atom
Formation energy (no corrections): 0.178 eV per atom
Density: 10.1 g/cm³
DFT total energy: -19.25 eV per formula unit

Compound: CrAu2Br
Source: Alexandria
Functional: GGA-PBEsol
Structure: relaxed

Cell: 3.0874 3.0874 7.7356 Å, 90.00 90.00 90.00°
Fractional coordinates of all 4 atoms:
Au 0.0000 0.0000 0.7103
Au 0.0000 0.0000 0.2897
Cr 0.5000 0.5000 0.5000
Br 0.5000 0.5000 0.0000

Computed properties:
Spin magnetization: 0.814 μB/atom
Distance to the lowest polymorph of the same formula: 0.1793 eV per atom
Formation energy (no corrections): 0.357 eV per atom
Density: 11.8 g/cm³
DFT total energy: -18.53 eV per formula unit

Compound: CrAuBr
Source: Alexandria
Functional: GGA-PBEsol
Structure: relaxed

Cell: 4.5930 4.5930 4.5930 Å, 60.00 60.00 60.00°
Fractional coordinates of all 3 atoms:
Cr 0.5000 0.5000 0.5000
Br 0.0000 0.0000 0.0000
Au 0.2500 0.2500 0.2500

Computed properties:
Spin magnetization: 1.492 μB/atom
Distance to the lowest polymorph of the same formula: 0.5610 eV per atom
Formation energy (no corrections): 0.708 eV per atom
Density: 8.0 g/cm³
DFT total energy: -13.91 eV per formula unit

Compound: CrAuBr3
Source: Alexandria
Functional: GGA-PBEsol
Structure: relaxed

Cell: 4.9610 4.9610 4.9610 Å, 90.00 90.00 90.00°
Fractional coordinates of all 5 atoms:
Br 0.5000 0.0000 0.0000
Br 0.0000 0.5000 0.0000
Br 0.0000 0.0000 0.5000
Cr 0.0000 0.0000 0.0000
Au 0.5000 0.5000 0.5000

Computed properties:
Spin magnetization: 0.729 μB/atom
Formation energy (no corrections): 0.105 eV per atom
Density: 6.6 g/cm³
DFT total energy: -19.25 eV per formula unit